# Ce3NdN4 | the Alexandria database | GGA-PBE | relaxed
data_Ce3NdN4
_chemical_formula_sum 'Ce3 Nd1 N4'
_cell_length_a 5.078
_cell_length_b 5.078
_cell_length_c 5.078
_cell_angle_alpha 90.00
_cell_angle_beta 90.00
_cell_angle_gamma 90.00
_space_group_name_H-M_alt 'P m -3 m'
_space_group_IT_number 221
_space_group_name_Hall '-P 4 2 3'
loop_
_atom_site_label
_atom_site_type_symbol
_atom_site_fract_x
_atom_site_fract_y
_atom_site_fract_z
Ce1 Ce 0.000 0.000 0.500
Nd1 Nd 0.500 0.500 0.500
N1 N 0.000 0.000 0.000
N2 N 0.000 0.500 0.500
# - Total energy: -67.56 eV per formula unit
# - Energy above the most stable polymorph in this dataset: 11.1 meV/atom
# - Volume: 131 Å³ per cell